Ti4FeP6O24 GGA+U optimized geometry; E = -0.579 Ry/atom
1.0
-7.835 2.916 -1.871
-6.704 -5.293 0.653
-5.654 1.167 6.329
Ti Fe P O
4 1 6 24
direct
0.854 0.854 0.854
0.146 0.146 0.146
0.632 0.632 0.632
0.368 0.368 0.368
0.000 0.000 0.000
0.545 0.247 0.970
0.247 0.970 0.545
0.970 0.545 0.247
0.455 0.753 0.030
0.753 0.030 0.455
0.030 0.455 0.753
0.559 0.408 0.779
0.408 0.779 0.559
0.779 0.559 0.408
0.441 0.592 0.221
0.592 0.221 0.441
0.221 0.441 0.592
0.737 0.081 0.951
0.081 0.951 0.737
0.951 0.737 0.081
0.263 0.919 0.049
0.919 0.049 0.263
0.049 0.263 0.919
0.617 0.817 0.989
0.817 0.989 0.617
0.989 0.617 0.817
0.383 0.183 0.011
0.183 0.011 0.383
0.011 0.383 0.183
0.504 0.302 0.133
0.302 0.133 0.504
0.133 0.504 0.302
0.496 0.698 0.867
0.698 0.867 0.496
0.867 0.496 0.698